BaSrGe3: optimized geometry, GGA-PBEsol.

The volume comes out at 167 Å³/cell. The formation energy is 0.399 eV per atom. The space group is Pm-3m, No. 221.

abc: 5.5122 5.5122 5.5122
angles: 90.00 90.00 90.00
Last column: nearest neighbours and their distance in Å.
Element x y z (fractional)
Ge 0.0000 0.0000 0.5000  2 Sr 2.76
Ge 0.0000 0.5000 0.0000  2 Sr 2.76
Ge 0.5000 0.0000 0.0000  2 Sr 2.76
Ba 0.5000 0.5000 0.5000  12 Ge 3.90
Sr 0.0000 0.0000 0.0000  6 Ge 2.76



Ba3TcGe: optimized geometry, GGA-PBEsol.

The volume comes out at 176 Å³/cell. The formation energy is 0.481 eV per atom. The space group is Pm-3m, No. 221.

abc: 5.6091 5.6091 5.6091
angles: 90.00 90.00 90.00
Last column: nearest neighbours and their distance in Å.
Element x y z (fractional)
Ba 0.5000 0.0000 0.0000  2 Tc 2.80
Ba 0.0000 0.5000 0.0000  2 Tc 2.80
Ba 0.0000 0.0000 0.5000  2 Tc 2.80
Ge 0.5000 0.5000 0.5000  12 Ba 3.97
Tc 0.0000 0.0000 0.0000  6 Ba 2.80



BaGe2Te2: optimized geometry, GGA-PBEsol.

The volume comes out at 149 Å³/cell. The calculation puts the uncorrected formation energy at -0.532 eV/atom. The space group is I4/mmm, No. 139.

abc: 5.7309 6.0798 5.7309
angles: 61.88 90.00 118.12
Last column: nearest neighbours and their distance in Å.
Element x y z (fractional)
Ba 0.0000 0.0000 0.0000  2 Ge 3.19
Ge 0.3518 0.7037 0.6482  1 Ge 2.69
Ge 0.6482 0.2963 0.3518  1 Ge 2.69
Te 0.2500 0.5000 0.2500  4 Ge 3.01
Te 0.7500 0.5000 0.7500  4 Ge 3.01



BaTl2Ge2: optimized geometry, GGA-PBEsol.

The volume comes out at 139 Å³/cell. The formation energy is -0.183 eV per atom. The space group is I4/mmm, No. 139.

abc: 5.0767 5.0767 6.4751
angles: 113.08 113.08 90.00
Last column: nearest neighbours and their distance in Å.
Element x y z (fractional)
Ge 0.7500 0.2500 0.5000  4 Tl 2.83
Ge 0.2500 0.7500 0.5000  4 Tl 2.83
Tl 0.6340 0.6340 0.2680  4 Ge 2.83, 1 Tl 2.89
Tl 0.3660 0.3660 0.7320  4 Ge 2.83, 1 Tl 2.89
Ba 0.0000 0.0000 0.0000  8 Ge 3.70, 10 Tl 3.87-3.94



Ba2ZrTlGe: optimized geometry, GGA-PBEsol.

The volume comes out at 191 Å³/cell. The formation energy is 0.378 eV per atom. The space group is P4/mmm, No. 123.

abc: 5.1914 6.0622 6.0622
angles: 90.00 90.00 90.00
Last column: nearest neighbours and their distance in Å.
Element x y z (fractional)
Ba 0.0000 0.5000 0.0000  2 Zr 3.03
Ba 0.0000 0.0000 0.5000  2 Zr 3.03
Ge 0.5000 0.0000 0.0000  2 Zr 2.60
Tl 0.5000 0.5000 0.5000  8 Ba 3.99, 4 Ge 4.29
Zr 0.0000 0.0000 0.0000  2 Ge 2.60



BaGe3W: optimized geometry, GGA-PBEsol.

The volume comes out at 156 Å³/cell. The formation energy is 2.499 eV per atom. The space group is Pm-3m, No. 221.

abc: 5.3824 5.3824 5.3824
angles: 90.00 90.00 90.00
Last column: nearest neighbours and their distance in Å.
Element x y z (fractional)
Ba 0.0000 0.0000 0.0000  6 Ge 2.69
Ge 0.5000 0.0000 0.0000  2 Ba 2.69
Ge 0.0000 0.0000 0.5000  2 Ba 2.69
Ge 0.0000 0.5000 0.0000  2 Ba 2.69
W 0.5000 0.5000 0.5000  12 Ge 3.81



Let's list raw total energy in order: -16.809, -20.248, -21.739, -18.203, -19.066, -18.280 eV per cell.